A relaxed Pm4Pr2Th crystal, computed with PBE-GGA.

a b c (Å): 20.985 20.985 20.985
angles (deg): 10.01 10.01 10.01
Positions (direct):
1 Pm 0.143 0.143 0.143
2 Pm 0.288 0.288 0.288
3 Pm 0.712 0.712 0.712
4 Pm 0.857 0.857 0.857
5 Pr 0.428 0.428 0.428
6 Pr 0.572 0.572 0.572
7 Th 0.000 0.000 0.000

Results
Formation energy = 0.017 eV per atom
Total magnetic moment = 0.0 μB per cell
Energy above the lowest structure with this stoichiometry = 0 meV/atom

---

A relaxed Cd2SnSb2 crystal, computed with PBE-GGA.

a b c (Å): 8.137 8.137 8.137
angles (deg): 149.23 149.23 44.07
Positions (direct):
1 Cd 0.250 0.750 0.500
2 Cd 0.750 0.250 0.500
3 Sn 0.000 0.000 0.000
4 Sb 0.393 0.393 0.000
5 Sb 0.607 0.607 0.000

Results
Energy relative to the elements, uncorrected = 0.115 eV/atom
Total magnetic moment = 0.0 μB per cell
Energy above the lowest structure with this stoichiometry = 11 meV/atom

---

A relaxed CeAlFe crystal, computed with PBE-GGA.

a b c (Å): 6.116 6.116 6.116
angles (deg): 151.55 151.55 40.67
Positions (direct):
1 Ce 0.000 0.000 0.000
2 Al 0.274 0.274 0.000
3 Fe 0.662 0.662 0.000

Results
Formation energy = -0.188 eV per atom
Total magnetic moment = 0.0 μB per cell

---

total magnetic moment of number 2 (Cd2SnSb2)? 0.0 μB per cell